Entry 1:
This record from the Alexandria database describes TcIrN2F after structural relaxation. The functional is PBE.

SG: P4/mmm
Raw total energy in eV/cell: -32.84
Energy relative to the elements, uncorrected in eV per formula unit: 4.9

Cell lengths 3.7219, 3.7219, 5.4501 Å; angles 90.00, 90.00, 90.00 degrees
Closest atoms and distances in Å follow each position.
Positions (direct):
N: 0.0000 0.5000 0.0000  2 Ir 1.86
N: 0.5000 0.0000 0.0000  2 Ir 1.86
Ir: 0.0000 0.0000 0.0000  4 N 1.86
Tc: 0.5000 0.5000 0.5000  4 F 2.63
F: 0.0000 0.0000 0.5000  4 Tc 2.63, 2 Ir 2.73

---

Entry 2:
This record from the Alexandria database describes TcIr2NF after structural relaxation. The functional is PBE.

SG: P4/mmm
Raw total energy in eV/cell: -28.22
Energy relative to the elements, uncorrected in eV per formula unit: 10.1

Cell lengths 4.0258, 4.2216, 4.0258 Å; angles 90.00, 90.00, 90.00 degrees
Closest atoms and distances in Å follow each position.
Positions (direct):
N: 0.0000 0.5000 0.0000  2 F 2.11
Ir: 0.0000 0.0000 0.5000  2 F 2.01
Ir: 0.5000 0.0000 0.0000  2 F 2.01
Tc: 0.5000 0.5000 0.5000  4 N 2.85, 8 Ir 2.92
F: 0.0000 0.0000 0.0000  4 Ir 2.01, 2 N 2.11

---

Entry 3:
This record from the Alexandria database describes TcIrN2F after structural relaxation. The functional is PBE.

SG: P4/mmm
Raw total energy in eV/cell: -32.92
Energy relative to the elements, uncorrected in eV per formula unit: 4.8

Cell lengths 3.9092, 3.9092, 3.9672 Å; angles 90.00, 90.00, 90.00 degrees
Closest atoms and distances in Å follow each position.
Positions (direct):
N: 0.0000 0.5000 0.0000  2 Tc 1.95
N: 0.5000 0.0000 0.0000  2 Tc 1.95
Ir: 0.5000 0.5000 0.5000  4 F 2.76, 8 N 2.78
Tc: 0.0000 0.0000 0.0000  4 N 1.95, 2 F 1.98
F: 0.0000 0.0000 0.5000  2 Tc 1.98

---

Entry 4:
This record from the Alexandria database describes TeIrNF2 after structural relaxation. The functional is PBE.

SG: P4/mmm
Raw total energy in eV/cell: -20.09
Energy relative to the elements, uncorrected in eV per formula unit: 4.0

Cell lengths 4.3469, 4.3469, 4.2578 Å; angles 90.00, 90.00, 90.00 degrees
Closest atoms and distances in Å follow each position.
Positions (direct):
N: 0.0000 0.0000 0.5000  2 Te 2.13
Ir: 0.5000 0.5000 0.5000  8 F 3.04, 4 N 3.07
Te: 0.0000 0.0000 0.0000  2 N 2.13, 4 F 2.17
F: 0.0000 0.5000 0.0000  2 Te 2.17
F: 0.5000 0.0000 0.0000  2 Te 2.17

---

Entry 5:
This record from the Alexandria database describes TeIrNF2 after structural relaxation. The functional is PBE.

SG: P4/mmm
Raw total energy in eV/cell: -23.76
Energy relative to the elements, uncorrected in eV per formula unit: 0.3

Cell lengths 4.5800, 4.5800, 3.6965 Å; angles 90.00, 90.00, 90.00 degrees
Closest atoms and distances in Å follow each position.
Positions (direct):
N: 0.0000 0.0000 0.5000  2 Ir 1.85
Ir: 0.0000 0.0000 0.0000  2 N 1.85
Te: 0.5000 0.5000 0.5000  8 F 2.94, 4 N 3.24
F: 0.0000 0.5000 0.0000  2 Ir 2.29
F: 0.5000 0.0000 0.0000  2 Ir 2.29

---

Entry 6:
This record from the Alexandria database describes TiIrNF2 after structural relaxation. The functional is PBE.

SG: P4/mmm
Raw total energy in eV/cell: -31.73
Energy relative to the elements, uncorrected in eV per formula unit: -2.9

Cell lengths 3.8365, 3.8365, 4.1873 Å; angles 90.00, 90.00, 90.00 degrees
Closest atoms and distances in Å follow each position.
Positions (direct):
N: 0.0000 0.0000 0.5000  2 Ti 2.09
F: 0.0000 0.5000 0.0000  2 Ti 1.92
F: 0.5000 0.0000 0.0000  2 Ti 1.92
Ir: 0.5000 0.5000 0.5000  4 N 2.71, 8 F 2.84
Ti: 0.0000 0.0000 0.0000  4 F 1.92, 2 N 2.09

---

Entry 7:
This record from the Alexandria database describes TiIrNF2 after structural relaxation. The functional is PBE.

SG: P4/mmm
Raw total energy in eV/cell: -29.73
Energy relative to the elements, uncorrected in eV per formula unit: -0.9

Cell lengths 4.5068, 4.5068, 3.6772 Å; angles 90.00, 90.00, 90.00 degrees
Closest atoms and distances in Å follow each position.
Positions (direct):
N: 0.0000 0.0000 0.5000  2 Ir 1.84
F: 0.0000 0.5000 0.0000  2 Ir 2.25
F: 0.5000 0.0000 0.0000  2 Ir 2.25
Ir: 0.0000 0.0000 0.0000  2 N 1.84
Ti: 0.5000 0.5000 0.5000  8 F 2.91, 4 N 3.19

---

Entry 8:
This record from the Alexandria database describes TlIrN2F after structural relaxation. The functional is PBE.

SG: P4/mmm
Raw total energy in eV/cell: -29.23
Energy relative to the elements, uncorrected in eV per formula unit: 0.5

Cell lengths 3.7386, 3.7386, 7.2393 Å; angles 90.00, 90.00, 90.00 degrees
Closest atoms and distances in Å follow each position.
Positions (direct):
N: 0.0000 0.5000 0.0000  2 Ir 1.87
N: 0.5000 0.0000 0.0000  2 Ir 1.87
Tl: 0.5000 0.5000 0.5000  4 F 2.64
Ir: 0.0000 0.0000 0.0000  4 N 1.87
F: 0.0000 0.0000 0.5000  4 Tl 2.64

---

Entry 9:
This record from the Alexandria database describes TlIrN2F after structural relaxation. The functional is PBE.

SG: P4/mmm
Raw total energy in eV/cell: -19.46
Energy relative to the elements, uncorrected in eV per formula unit: 10.3

Cell lengths 4.2888, 4.2888, 4.2428 Å; angles 90.00, 90.00, 90.00 degrees
Closest atoms and distances in Å follow each position.
Positions (direct):
N: 0.0000 0.5000 0.0000  2 Tl 2.14
N: 0.5000 0.0000 0.0000  2 Tl 2.14
Tl: 0.0000 0.0000 0.0000  2 F 2.12, 4 N 2.14
Ir: 0.5000 0.5000 0.5000  8 N 3.02, 4 F 3.03
F: 0.0000 0.0000 0.5000  2 Tl 2.12

---

Entry 10:
This record from the Alexandria database describes TlIrNF2 after structural relaxation. The functional is PBE.

SG: P4/mmm
Raw total energy in eV/cell: -26.16
Energy relative to the elements, uncorrected in eV per formula unit: -2.9

Cell lengths 4.5870, 4.5870, 3.7134 Å; angles 90.00, 90.00, 90.00 degrees
Closest atoms and distances in Å follow each position.
Positions (direct):
N: 0.0000 0.0000 0.5000  2 Ir 1.86
Tl: 0.5000 0.5000 0.5000  8 F 2.95, 4 N 3.24
Ir: 0.0000 0.0000 0.0000  2 N 1.86
F: 0.0000 0.5000 0.0000  2 Ir 2.29
F: 0.5000 0.0000 0.0000  2 Ir 2.29

---

Entry 11:
This record from the Alexandria database describes TlIrNF2 after structural relaxation. The functional is PBE.

SG: P4/mmm
Raw total energy in eV/cell: -18.88
Energy relative to the elements, uncorrected in eV per formula unit: 4.4

Cell lengths 4.3424, 4.3424, 4.4657 Å; angles 90.00, 90.00, 90.00 degrees
Closest atoms and distances in Å follow each position.
Positions (direct):
N: 0.0000 0.0000 0.5000  2 Tl 2.23
Tl: 0.0000 0.0000 0.0000  4 F 2.17, 2 N 2.23
Ir: 0.5000 0.5000 0.5000  4 N 3.07, 8 F 3.11
F: 0.0000 0.5000 0.0000  2 Tl 2.17
F: 0.5000 0.0000 0.0000  2 Tl 2.17

---

> The highest raw total energy belongs to which entry?

number 11